10
Lattice="-2.1748 -0.0723 -3.8616 -1.0975 -6.9256 0.7477 -4.9599 4.2142 2.7144" Properties=species:S:1:pos:R:3 comment="Hf7TlC2 (PBE, optimized geometry)" e_form_ev_per_fu=0.37 dos_ef_per_ev_cell=7.6 magnetic_moment_mub_per_fu=0.000 pbc="T T T"
Hf -2.1906 -3.7728 1.3043
Hf -3.8668 1.0613 2.1578
Hf -2.8255 0.9324 -0.9701
Hf -5.4067 -3.7162 0.5706
Hf -1.7770 -2.0914 -1.5040
Hf -6.4552 -0.6923 1.1044
Hf -4.1161 -1.3919 -0.1998
Tl 0.0000 0.0000 0.0000
C -3.3325 -3.6519 -0.5988
C -4.8997 0.8682 0.1992